LiSmSi2Au5 | PBE | optimized geometry

Values from the calculation:
E_tot = -4.037 eV per atom

a = 4.459 Å, b = 4.459 Å, c = 9.623 Å
α = 90.00°, β = 90.00°, γ = 90.00°
Atoms (fractional coordinates):
Li: 0.000 0.000 0.000
Sm: 0.000 0.000 0.500
Si: 0.500 0.500 0.256
Si: 0.500 0.500 0.744
Au: 0.000 0.500 0.157
Au: 0.000 0.500 0.843
Au: 0.500 0.000 0.157
Au: 0.500 0.000 0.843
Au: 0.500 0.500 0.500



Li2SmSi2Au2 | PBE | optimized geometry

Values from the calculation:
E_tot = -4.315 eV per atom

a = 8.403 Å, b = 8.403 Å, c = 8.403 Å
α = 29.42°, β = 29.42°, γ = 29.42°
Atoms (fractional coordinates):
Li: 0.141 0.141 0.141
Li: 0.859 0.859 0.859
Sm: 0.000 0.000 0.000
Si: 0.254 0.254 0.254
Si: 0.746 0.746 0.746
Au: 0.426 0.426 0.426
Au: 0.574 0.574 0.574



SrLiSi2Au5 | PBE | optimized geometry

Values from the calculation:
E_tot = -3.779 eV per atom

a = 4.743 Å, b = 4.743 Å, c = 8.789 Å
α = 90.00°, β = 90.00°, γ = 90.00°
Atoms (fractional coordinates):
Sr: 0.000 0.000 0.000
Li: 0.000 0.000 0.500
Si: 0.500 0.500 0.273
Si: 0.500 0.500 0.727
Au: 0.000 0.500 0.332
Au: 0.000 0.500 0.668
Au: 0.500 0.000 0.332
Au: 0.500 0.000 0.668
Au: 0.500 0.500 0.000



SrLiSiAu2 | PBE | optimized geometry

Values from the calculation:
E_tot = -3.520 eV per atom

a = 4.931 Å, b = 4.931 Å, c = 4.765 Å
α = 90.00°, β = 90.00°, γ = 90.00°
Atoms (fractional coordinates):
Sr: 0.000 0.000 0.000
Li: 0.500 0.500 0.000
Si: 0.500 0.500 0.500
Au: 0.000 0.500 0.500
Au: 0.500 0.000 0.500



Sr2LiSi3Au4 | PBE | optimized geometry

Values from the calculation:
E_tot = -4.023 eV per atom

a = 4.495 Å, b = 4.495 Å, c = 10.112 Å
α = 90.00°, β = 90.00°, γ = 90.00°
Atoms (fractional coordinates):
Sr: 0.000 0.500 0.249
Sr: 0.500 0.000 0.751
Li: 0.000 0.000 0.500
Si: 0.000 0.500 0.870
Si: 0.500 0.000 0.130
Si: 0.500 0.500 0.500
Au: 0.000 0.000 0.000
Au: 0.000 0.500 0.623
Au: 0.500 0.000 0.377
Au: 0.500 0.500 0.000



SrLiSi2Au2 | PBE | optimized geometry

Values from the calculation:
E_tot = -4.019 eV per atom

a = 4.355 Å, b = 4.355 Å, c = 7.272 Å
α = 90.00°, β = 90.00°, γ = 120.00°
Atoms (fractional coordinates):
Sr: 0.000 0.000 0.000
Li: 0.000 0.000 0.500
Si: 0.333 0.667 0.693
Si: 0.667 0.333 0.307
Au: 0.333 0.667 0.319
Au: 0.667 0.333 0.681



SrLiSiAu3 | PBE | optimized geometry

Values from the calculation:
E_tot = -3.546 eV per atom

a = 6.922 Å, b = 6.922 Å, c = 6.077 Å
α = 90.00°, β = 90.00°, γ = 120.58°
Atoms (fractional coordinates):
Sr: 0.216 0.784 0.750
Sr: 0.784 0.216 0.250
Li: 0.461 0.539 0.750
Li: 0.539 0.461 0.250
Si: 0.123 0.877 0.250
Si: 0.877 0.123 0.750
Au: 0.213 0.213 0.000
Au: 0.213 0.213 0.500
Au: 0.326 0.674 0.250
Au: 0.674 0.326 0.750
Au: 0.787 0.787 0.000
Au: 0.787 0.787 0.500



LiTb2Si3Au4 | PBE | optimized geometry

Values from the calculation:
E_tot = -4.663 eV per atom

a = 4.237 Å, b = 4.237 Å, c = 10.471 Å
α = 90.00°, β = 90.00°, γ = 90.00°
Atoms (fractional coordinates):
Li: 0.000 0.000 0.000
Tb: 0.000 0.500 0.744
Tb: 0.500 0.000 0.256
Si: 0.000 0.500 0.358
Si: 0.500 0.000 0.642
Si: 0.500 0.500 0.000
Au: 0.000 0.000 0.500
Au: 0.000 0.500 0.129
Au: 0.500 0.000 0.871
Au: 0.500 0.500 0.500



LiTbSiAu | PBE | optimized geometry

Values from the calculation:
E_tot = -4.344 eV per atom

a = 4.803 Å, b = 4.803 Å, c = 4.803 Å
α = 60.00°, β = 60.00°, γ = 60.00°
Atoms (fractional coordinates):
Li: 0.000 0.000 0.000
Tb: 0.500 0.500 0.500
Si: 0.250 0.250 0.250
Au: 0.750 0.750 0.750



LiSiTcAu2 | PBE | optimized geometry

Values from the calculation:
E_tot = -4.352 eV per atom

a = 5.126 Å, b = 5.126 Å, c = 4.534 Å
α = 90.00°, β = 90.00°, γ = 90.00°
Atoms (fractional coordinates):
Li: 0.000 0.000 0.000
Si: 0.500 0.500 0.000
Tc: 0.500 0.500 0.500
Au: 0.000 0.500 0.500
Au: 0.500 0.000 0.500



LiSi2Te6Au | PBE | optimized geometry

Values from the calculation:
E_tot = -3.574 eV per atom

a = 9.698 Å, b = 9.698 Å, c = 6.936 Å
α = 103.22°, β = 103.22°, γ = 82.55°
Atoms (fractional coordinates):
Li: 0.123 0.877 0.750
Li: 0.877 0.123 0.250
Si: 0.222 0.366 0.778
Si: 0.366 0.222 0.278
Si: 0.634 0.778 0.722
Si: 0.778 0.634 0.222
Te: 0.045 0.182 0.674
Te: 0.097 0.609 0.920
Te: 0.182 0.045 0.174
Te: 0.290 0.456 0.498
Te: 0.391 0.903 0.580
Te: 0.456 0.290 0.998
Te: 0.544 0.710 0.002
Te: 0.609 0.097 0.420
Te: 0.710 0.544 0.502
Te: 0.818 0.955 0.826
Te: 0.903 0.391 0.080
Te: 0.955 0.818 0.326
Au: 0.271 0.729 0.250
Au: 0.729 0.271 0.750



Li2TmSi2Au2 | PBE | optimized geometry

Values from the calculation:
E_tot = -4.249 eV per atom

a = 8.243 Å, b = 8.243 Å, c = 8.243 Å
α = 29.80°, β = 29.80°, γ = 29.80°
Atoms (fractional coordinates):
Li: 0.141 0.141 0.141
Li: 0.859 0.859 0.859
Tm: 0.000 0.000 0.000
Si: 0.256 0.256 0.256
Si: 0.744 0.744 0.744
Au: 0.423 0.423 0.423
Au: 0.577 0.577 0.577



LiTmSiAu | PBE | optimized geometry

Values from the calculation:
E_tot = -4.314 eV per atom

a = 4.740 Å, b = 4.740 Å, c = 4.740 Å
α = 60.00°, β = 60.00°, γ = 60.00°
Atoms (fractional coordinates):
Li: 0.000 0.000 0.000
Tm: 0.500 0.500 0.500
Si: 0.750 0.750 0.750
Au: 0.250 0.250 0.250



Li2VSiAu | PBE | optimized geometry

Values from the calculation:
E_tot = -3.308 eV per atom

a = 4.689 Å, b = 4.689 Å, c = 4.874 Å
α = 90.00°, β = 90.00°, γ = 90.00°
Atoms (fractional coordinates):
Li: 0.000 0.500 0.000
Li: 0.500 0.000 0.000
V: 0.000 0.000 0.000
Si: 0.500 0.500 0.500
Au: 0.000 0.000 0.500



LiYSiAu | PBE | optimized geometry

Values from the calculation:
E_tot = -4.805 eV per atom

a = 4.797 Å, b = 4.797 Å, c = 4.797 Å
α = 60.00°, β = 60.00°, γ = 60.00°
Atoms (fractional coordinates):
Li: 0.000 0.000 0.000
Y: 0.500 0.500 0.500
Si: 0.250 0.250 0.250
Au: 0.750 0.750 0.750



LiYSi2Au2 | PBE | optimized geometry

Values from the calculation:
E_tot = -4.900 eV per atom

a = 4.312 Å, b = 4.312 Å, c = 6.680 Å
α = 90.00°, β = 90.00°, γ = 120.00°
Atoms (fractional coordinates):
Li: 0.000 0.000 0.000
Y: 0.000 0.000 0.500
Si: 0.333 0.667 0.219
Si: 0.667 0.333 0.781
Au: 0.333 0.667 0.802
Au: 0.667 0.333 0.198



LiZn2SiAu4 | PBE | optimized geometry

Values from the calculation:
E_tot = -3.068 eV per atom

a = 7.976 Å, b = 7.976 Å, c = 7.976 Å
α = 32.46°, β = 32.46°, γ = 32.46°
Atoms (fractional coordinates):
Li: 0.000 0.000 0.000
Zn: 0.261 0.261 0.261
Zn: 0.739 0.739 0.739
Si: 0.500 0.500 0.500
Au: 0.126 0.126 0.126
Au: 0.380 0.380 0.380
Au: 0.620 0.620 0.620
Au: 0.874 0.874 0.874



LiZnSiAu | PBE | optimized geometry

Values from the calculation:
E_tot = -3.134 eV per atom

a = 4.403 Å, b = 4.403 Å, c = 4.403 Å
α = 60.00°, β = 60.00°, γ = 60.00°
Atoms (fractional coordinates):
Li: 0.000 0.000 0.000
Zn: 0.750 0.750 0.750
Si: 0.500 0.500 0.500
Au: 0.250 0.250 0.250



LiSm2Au4 | PBE | optimized geometry

Values from the calculation:
DFT formation energy = -654 meV/atom

a = 5.397 Å, b = 5.397 Å, c = 7.774 Å
α = 104.08°, β = 104.08°, γ = 48.85°
Atoms (fractional coordinates):
Li: 0.000 0.000 0.000
Sm: 0.261 0.261 0.739
Sm: 0.739 0.739 0.261
Au: 0.068 0.068 0.359
Au: 0.408 0.408 0.141
Au: 0.592 0.592 0.859
Au: 0.932 0.932 0.641



Li2SmAu | PBE | optimized geometry

Values from the calculation:
DFT formation energy = -352 meV/atom

a = 5.443 Å, b = 5.443 Å, c = 5.443 Å
α = 49.41°, β = 49.41°, γ = 49.41°
Atoms (fractional coordinates):
Li: 0.000 0.000 0.000
Li: 0.280 0.280 0.280
Sm: 0.792 0.792 0.792
Au: 0.578 0.578 0.578